1.
The following is a DFT calculation (PBE-GGA) of crystalline CeZnRu at its relaxed geometry.

Computed properties:
The energy of formation from the pure elements comes out at -0.200 eV per atom. The final energy is -17.08 eV per cell. As for the space group: P-6m2, No. 187.

a b c (Å): 3.5345 4.4181 4.4181
angles (deg): 120.00 90.00 90.00
Last column: nearest neighbours and their distance in Å.
Positions (direct):
Ru (0.5000, 0.6667, 0.3333)  3 Zn 2.55
Zn (0.5000, 0.3333, 0.6667)  3 Ru 2.55
Ce (0.0000, 0.0000, 0.0000)  6 Zn 3.10, 6 Ru 3.10

---

2.
The following is a DFT calculation (PBE-GGA) of crystalline CeZnRu at its relaxed geometry.

Computed properties:
The energy of formation from the pure elements comes out at -0.192 eV per atom. The final energy is -17.06 eV per cell. As for the space group: I4mm, No. 107.

a b c (Å): 3.2269 3.2269 5.9457
angles (deg): 105.74 105.75 90.00
Last column: nearest neighbours and their distance in Å.
Positions (direct):
Ce (0.0184, 0.0183, 0.0368)  4 Ru 2.88, 1 Zn 3.13
Ru (0.6784, 0.6784, 0.3568)  4 Zn 2.66, 4 Ce 2.88
Zn (0.3032, 0.3032, 0.6064)  4 Ru 2.66

---

3.
The following is a DFT calculation (PBE-GGA) of crystalline CeZnRu at its relaxed geometry.

Computed properties:
The energy of formation from the pure elements comes out at -0.348 eV per atom. The final energy is -70.11 eV per cell. As for the space group: C2/m, No. 12.

a b c (Å): 6.1644 6.1665 7.2254
angles (deg): 90.00 114.82 90.00
Last column: nearest neighbours and their distance in Å.
Positions (direct):
Ce (0.6365, 0.0001, 0.7774)  4 Ru 2.84, 4 Zn 3.10
Ce (0.8635, 0.5001, 0.2226)  4 Ru 2.84, 4 Zn 3.10
Ce (0.3635, 0.9999, 0.2226)  4 Ru 2.84, 4 Zn 3.10
Ce (0.1365, 0.4999, 0.7774)  4 Ru 2.84, 4 Zn 3.10
Zn (0.8883, 0.0001, 0.2728)  4 Ru 2.64
Zn (0.6117, 0.5001, 0.7272)  4 Ru 2.64
Zn (0.1117, 0.9999, 0.7272)  4 Ru 2.64
Zn (0.3883, 0.4999, 0.2728)  4 Ru 2.64
Ru (0.7500, 0.7499, 0.5000)  4 Zn 2.64, 4 Ce 2.84
Ru (0.7500, 0.2499, 0.5000)  4 Zn 2.64, 4 Ce 2.84
Ru (0.2500, 0.2501, 0.5000)  4 Zn 2.64, 4 Ce 2.84
Ru (0.2500, 0.7501, 0.5000)  4 Zn 2.64, 4 Ce 2.84

---

4.
The following is a DFT calculation (PBE-GGA) of crystalline CeZnRu at its relaxed geometry.

Computed properties:
The energy of formation from the pure elements comes out at -0.134 eV per atom. The final energy is -16.89 eV per cell. As for the space group: F-43m, No. 216.

a b c (Å): 4.5176 4.5176 4.5176
angles (deg): 60.00 60.00 60.00
Last column: nearest neighbours and their distance in Å.
Positions (direct):
Ru (0.2500, 0.2500, 0.2500)  4 Ce 2.77, 4 Zn 2.77
Zn (0.0000, 0.0000, 0.0000)  4 Ru 2.77
Ce (0.5000, 0.5000, 0.5000)  4 Ru 2.77